(P)
## Li2IrAu2 (PBE)

Data for an optimized crystal structure of Li2IrAu2.

Calculated values
volume: 142.0 Å³/cell
D(E_F): 3.40 states/eV/cell

abc: 6.845 6.845 3.030
angles: 90.00 90.00 90.00
Atoms (fractional coordinates):
Ir  0.500  0.500  0.000
Li  0.379  0.879  0.000
Au  0.317  0.183  0.500
Ir  0.000  0.000  0.000
Li  0.621  0.121  0.000
Li  0.879  0.621  0.000
Au  0.183  0.683  0.500
Li  0.121  0.379  0.000
Au  0.683  0.817  0.500
Au  0.817  0.317  0.500

(Q)
## Li2IrAu2 (PBE)

Data for an optimized crystal structure of Li2IrAu2.

Calculated values
volume: 151.6 Å³/cell
D(E_F): 5.88 states/eV/cell

abc: 7.393 7.393 2.773
angles: 90.00 90.00 90.00
Atoms (fractional coordinates):
Li  0.158  0.658  0.500
Au  0.857  0.643  0.000
Li  0.342  0.158  0.500
Ir  0.500  0.500  0.000
Au  0.357  0.857  0.000
Ir  0.000  0.000  0.000
Li  0.842  0.342  0.500
Li  0.658  0.842  0.500
Au  0.643  0.143  0.000
Au  0.143  0.357  0.000

The structure with the most favorable energy is (P); the runner-up is 40 meV/atom above it.

(P)
## LiIrAu (PBE)

Data for an optimized crystal structure of LiIrAu.

Calculated values
volume: 45.6 Å³/cell
D(E_F): 2.84 states/eV/cell

abc: 6.591 6.591 6.591
angles: 156.46 156.46 33.54
Atoms (fractional coordinates):
Au  0.004  0.004  0.000
Ir  0.326  0.326  0.000
Li  0.670  0.670  0.000

(Q)
## LiIrAu (PBE)

Data for an optimized crystal structure of LiIrAu.

Calculated values
volume: 46.1 Å³/cell
D(E_F): 2.95 states/eV/cell

abc: 7.420 7.189 2.713
angles: 84.14 74.53 21.33
Last column: magnetic moment on the atom in μB.
Atoms (fractional coordinates):
Ir  0.322  0.322  0.678  0.39
Li  0.669  0.669  0.331  0.00
Au  0.009  0.009  0.991  0.01

(R)
## LiIrAu (PBE)

Data for an optimized crystal structure of LiIrAu.

Calculated values
volume: 46.1 Å³/cell
D(E_F): 2.12 states/eV/cell

abc: 4.024 4.024 4.024
angles: 60.00 60.00 60.00
Atoms (fractional coordinates):
Li  0.250  0.250  0.250
Au  0.000  0.000  0.000
Ir  0.500  0.500  0.500

The structure with the most favorable energy is (Q); the runner-up is 33 meV/atom above it.